[1]
LaCo3P3: optimized geometry, GGA-PBE.

Lattice parameters (Å, degrees): 7.788 7.788 7.788 48.26 48.26 48.26
Fractional positions:
La: 0.167 0.167 0.167
La: 0.833 0.833 0.833
Co: 0.027 0.714 0.378
Co: 0.286 0.622 0.973
Co: 0.378 0.027 0.714
Co: 0.622 0.973 0.286
Co: 0.714 0.378 0.027
Co: 0.973 0.286 0.622
P: 0.086 0.396 0.720
P: 0.280 0.914 0.604
P: 0.396 0.720 0.086
P: 0.604 0.280 0.914
P: 0.720 0.086 0.396
P: 0.914 0.604 0.280

Computed properties:
As for the density of states at the Fermi level: 6.08 states/eV/f.u. As for the energy relative to the elements: -0.7189 eV/atom. The energy is -6.79 eV/atom. The volume comes out at 121 Å³/f.u.

---

[2]
PAuSe4: optimized geometry, GGA-PBE.

Lattice parameters (Å, degrees): 3.902 7.714 8.536 90.00 92.40 90.00
Fractional positions:
P: 0.026 0.250 0.185
P: 0.974 0.750 0.815
Au: 0.500 0.000 0.500
Au: 0.500 0.500 0.500
Se: 0.003 0.750 0.158
Se: 0.076 0.250 0.471
Se: 0.486 0.510 0.812
Se: 0.486 0.990 0.812
Se: 0.514 0.010 0.188
Se: 0.514 0.490 0.188
Se: 0.924 0.750 0.529
Se: 0.997 0.250 0.842

Computed properties:
The formation energy from raw total energies is 57 kJ/mol of formula units. As for the density of states at the Fermi level: 2.27 states/eV/f.u. The energy is -3.67 eV/atom. The volume comes out at 128 Å³/f.u.

---

[3]
LaBBr3: optimized geometry, GGA-PBE.

Lattice parameters (Å, degrees): 5.825 5.825 5.825 90.00 90.00 90.00
Fractional positions:
La: 0.000 0.000 0.000
B: 0.500 0.500 0.500
Br: 0.000 0.000 0.500
Br: 0.000 0.500 0.000
Br: 0.500 0.000 0.000

Computed properties:
The formation energy from raw total energies is -141 kJ/mol of formula units. As for the density of states at the Fermi level: 6.33 states/eV/f.u. The energy is -3.62 eV/atom. The volume comes out at 198 Å³/f.u.

---

[4]
Sr2RuO4F: optimized geometry, GGA-PBE.

Lattice parameters (Å, degrees): 5.280 5.280 7.198 112.48 112.48 37.00
Fractional positions:
Sr: 0.175 0.175 0.214
Sr: 0.825 0.825 0.786
Ru: 0.000 0.000 0.500
O: 0.135 0.135 0.772
O: 0.394 0.394 0.554
O: 0.606 0.606 0.446
O: 0.865 0.865 0.228
F: 0.500 0.500 0.000

Computed properties:
The formation energy from raw total energies is -1675 kJ/mol of formula units. As for the density of states at the Fermi level: 4.17 states/eV/f.u. The energy is -6.46 eV/atom. The volume comes out at 111 Å³/f.u.

---

[5]
Li2Pm2ErTl2: optimized geometry, GGA-PBE.

Lattice parameters (Å, degrees): 9.522 9.522 9.522 29.42 29.42 29.42
Fractional positions:
Li: 0.110 0.110 0.110
Li: 0.890 0.890 0.890
Pm: 0.374 0.374 0.374
Pm: 0.626 0.626 0.626
Er: 0.500 0.500 0.500
Tl: 0.234 0.234 0.234
Tl: 0.766 0.766 0.766

Computed properties:
As for the density of states at the Fermi level: 5.51 states/eV/f.u. As for the energy relative to the elements: -0.1842 eV/atom. The energy is -3.42 eV/atom. The volume comes out at 184 Å³/f.u.